No. 1
First-principles (GGA-PBE) data for a relaxed structure of Cs2KCa, as listed in Alexandria.

Output
**Uncorrected energy**: -4.06 eV/cell
**DOS(E_F)**: 1.0358 states/eV per atom
**Total magnetization**: 0.00 μB/cell
**Excess energy over the best structure of this formula in the dataset**: 0.0234 eV per atom

Cell: 4.9998 7.9543 7.9543 Å, 90.00 90.00 90.00°
Sites, in units of the cell vectors:
Ca (0.5000, 0.5000, 0.5000)
K (0.5000, 0.0000, 0.0000)
Cs (0.0000, 0.0000, 0.5000)
Cs (0.0000, 0.5000, 0.0000)

***

No. 2
First-principles (GGA-PBE) data for a relaxed structure of Pm2YCu9, as listed in Alexandria.

Output
**Uncorrected energy**: -54.77 eV/cell
**DOS(E_F)**: 0.6272 states/eV per atom
**Total magnetization**: 0.00 μB/cell

Cell: 5.1887 5.1887 8.9590 Å, 73.17 73.17 60.00°
Sites, in units of the cell vectors:
Cu (0.5000, 0.5000, 0.5000)
Cu (0.5791, 0.0827, 0.7591)
Cu (0.0827, 0.5791, 0.7591)
Cu (0.4209, 0.4209, 0.2409)
Cu (0.6680, 0.6680, 0.9961)
Cu (0.5791, 0.5791, 0.7591)
Cu (0.4209, 0.9173, 0.2409)
Cu (0.9173, 0.4209, 0.2409)
Cu (0.3320, 0.3320, 0.0039)
Pm (0.8590, 0.8590, 0.4229)
Pm (0.1410, 0.1410, 0.5771)
Y (0.0000, 0.0000, 0.0000)

***

No. 3
First-principles (GGA-PBE) data for a relaxed structure of DyPa2, as listed in Alexandria.

Output
**Uncorrected energy**: -45.80 eV/cell
**DOS(E_F)**: 2.7771 states/eV per atom
**Total magnetization**: 0.00 μB/cell
**Excess energy over the best structure of this formula in the dataset**: 0.0000 eV per atom

Cell: 6.1499 6.1499 6.1499 Å, 60.00 60.00 60.00°
Sites, in units of the cell vectors:
Dy (0.0000, 0.0000, 0.0000)
Dy (0.2500, 0.2500, 0.2500)
Pa (0.6250, 0.6250, 0.1250)
Pa (0.6250, 0.6250, 0.6250)
Pa (0.1250, 0.6250, 0.6250)
Pa (0.6250, 0.1250, 0.6250)

***

No. 4
First-principles (GGA-PBE) data for a relaxed structure of Ta2ZnSn2, as listed in Alexandria.

Output
**Uncorrected energy**: -63.74 eV/cell
**DOS(E_F)**: 0.6692 states/eV per atom
**Total magnetization**: 0.00 μB/cell

Cell: 7.1069 7.1069 4.0501 Å, 90.00 90.00 90.00°
Sites, in units of the cell vectors:
Ta (0.6407, 0.1407, 0.0000)
Ta (0.3593, 0.8593, 0.0000)
Ta (0.1407, 0.3593, 0.0000)
Ta (0.8593, 0.6407, 0.0000)
Sn (0.8383, 0.3383, 0.5000)
Sn (0.1617, 0.6617, 0.5000)
Sn (0.3383, 0.1617, 0.5000)
Sn (0.6617, 0.8383, 0.5000)
Zn (0.0000, 0.0000, 0.0000)
Zn (0.5000, 0.5000, 0.0000)

***

No. 5
First-principles (GGA-PBE) data for a relaxed structure of K2RbSO4, as listed in Alexandria.

Output
**Uncorrected energy**: -38.77 eV/cell
**DOS(E_F)**: 0.1835 states/eV per atom
**ΔE_f (raw)**: -1.456 eV per atom
**Total magnetization**: 0.00 μB/cell

Cell: 6.2349 6.2349 6.2349 Å, 104.44 112.04 112.04°
Sites, in units of the cell vectors:
S (0.0000, 0.5000, 0.5000)
Rb (0.5000, 0.2500, 0.7500)
O (0.7529, 0.5049, 0.4783)
O (0.2471, 0.7255, 0.7521)
O (0.9734, 0.2479, 0.4951)
O (0.0266, 0.5217, 0.2745)
K (0.0000, 0.0000, 0.0000)
K (0.5000, 0.7500, 0.2500)

***

No. 6
First-principles (GGA-PBE) data for a relaxed structure of SmZn2SiPd, as listed in Alexandria.

Output
**Uncorrected energy**: -20.89 eV/cell
**DOS(E_F)**: 0.4935 states/eV per atom
**ΔE_f (raw)**: -0.602 eV per atom
**Total magnetization**: 0.00 μB/cell

Cell: 4.1935 4.1517 5.9973 Å, 110.25 110.46 90.00°
Sites, in units of the cell vectors:
Sm (0.4372, 0.4372, 0.8743)
Si (0.8253, 0.8253, 0.6507)
Zn (0.0549, 0.0549, 0.1098)
Zn (0.6918, 0.1918, 0.3836)
Pd (0.2030, 0.7030, 0.4059)